Density functional theory data (PBE with a Hubbard U) for crystalline AcGaFeO4 at its relaxed geometry.

The structure in POSCAR format:
```
AcGaFeO4
1.0
6.500 0.000 0.000
3.250 5.690 -0.353
3.250 1.397 5.527
Fe O Ac Ga
2 8 2 2
direct
0.000 0.000 0.500 Fe
0.500 0.000 0.500 Fe
0.288 0.225 0.725 O
0.724 0.305 0.247 O
0.276 0.253 0.195 O
0.712 0.775 0.275 O
0.237 0.775 0.275 O
0.763 0.225 0.725 O
0.276 0.695 0.753 O
0.724 0.747 0.805 O
0.000 0.000 0.000 Ac
0.000 0.500 0.500 Ac
0.608 0.642 0.142 Ga
0.392 0.358 0.858 Ga
```

The value obtained for the density is 6.7 g cm⁻³. Its space group is No. 74. Its total energy is -93.63 eV for the cell shown. The total magnetization comes out at 7.9 μB/cell.